An optimized crystal structure of AsPbW2, computed with PBE-GGA.

As for the crystal system: tetragonal.

The structure belongs to space group P4/mmm (No. 123); the cell edges are 4.6464, 4.6464 and 3.2795 Å and the angles 90.00°, 90.00° and 90.00°. The asymmetric unit holds As at (0.0000, 0.0000, 0.0000), Pb at (0.5000, 0.5000, 0.0000) and W at (0.0000, 0.5000, 0.5000).

An optimized crystal structure of AsPbW2, computed with PBE-GGA.

As for the crystal system: orthorhombic.

The structure belongs to space group Imm2 (No. 44); the cell edges are 3.3016, 4.7121 and 9.6318 Å and the angles 90.00°, 90.00° and 90.00°. The asymmetric unit holds As at (0.0000, 0.0000, 0.0000), Pb at (0.0000, 0.5000, 0.7828), W at (0.0000, 0.0000, 0.5610) and W at (0.0000, 0.5000, 0.2833).

An optimized crystal structure of AsPbW2, computed with PBE-GGA.

As for the crystal system: monoclinic.

The structure belongs to space group Pm (No. 6); the cell edges are 3.1549, 4.6657 and 5.3836 Å and the angles 90.00°, 106.91° and 90.00°. The asymmetric unit holds As at (0.0000, 0.0000, 0.0000), Pb at (0.6328, 0.5000, 0.2636), W at (0.3029, 0.0000, 0.6039) and W at (0.9032, 0.5000, 0.7858).

An optimized crystal structure of AsPbW2, computed with PBE-GGA.

As for the crystal system: orthorhombic.

The structure belongs to space group Immm (No. 71); the cell edges are 3.0769, 5.2594 and 9.2500 Å and the angles 90.00°, 90.00° and 90.00°. The asymmetric unit holds As at (0.0000, 0.0000, 0.0000), Pb at (0.0000, 0.0000, 0.5000) and W at (0.0000, 0.5000, 0.2836).

An optimized crystal structure of AsPbW2, computed with PBE-GGA.

As for the crystal system: monoclinic.

The structure belongs to space group P2/m (No. 10); the cell edges are 3.3094, 4.1825 and 5.9715 Å and the angles 90.00°, 95.47° and 90.00°. The asymmetric unit holds As at (0.0000, 0.0000, 0.0000), Pb at (0.5000, 0.0000, 0.5000) and W at (0.2628, 0.5000, 0.8290).

An optimized crystal structure of AsPbW2, computed with PBE-GGA.

As for the crystal system: cubic.

The structure belongs to space group F-43m (No. 216); the cell edges are 6.6566, 6.6566 and 6.6566 Å and the angles 90.00°, 90.00° and 90.00°. The asymmetric unit holds As at (0.0000, 0.0000, 0.0000), Pb at (0.2500, 0.2500, 0.7500), W at (0.0000, 0.0000, 0.5000) and W at (0.2500, 0.2500, 0.2500).

An optimized crystal structure of AsPbW2, computed with PBE-GGA.

As for the crystal system: orthorhombic.

The structure belongs to space group Cmmm (No. 65); the cell edges are 3.2146, 5.1925 and 8.9516 Å and the angles 90.00°, 90.00° and 90.00°. The asymmetric unit holds As at (0.0000, 0.0000, 0.0000), Pb at (0.0000, 0.0000, 0.5000) and W at (0.0000, 0.5000, 0.2183).

An optimized crystal structure of AsPbW2, computed with PBE-GGA.

As for the crystal system: orthorhombic.

The structure belongs to space group Pmmm (No. 47); the cell edges are 3.2914, 4.5167 and 4.9897 Å and the angles 90.00°, 90.00° and 90.00°. The asymmetric unit holds As at (0.0000, 0.0000, 0.0000), Pb at (0.5000, 0.0000, 0.5000), W at (0.0000, 0.5000, 0.5000) and W at (0.5000, 0.5000, 0.0000).

An optimized crystal structure of AsPbW2, computed with PBE-GGA.

As for the crystal system: monoclinic.

The structure belongs to space group Cm (No. 8); the cell edges are 8.7215, 3.2680 and 6.2080 Å and the angles 90.00°, 101.67° and 90.00°. The asymmetric unit holds As at (0.0000, 0.0000, 0.0000), Pb at (0.2259, 0.0000, 0.5935), W at (0.2429, 0.5000, 0.1434) and W at (0.4599, 0.0000, 0.3208).

An optimized crystal structure of YAsPbW2, computed with PBE-GGA.

As for the crystal system: tetragonal.

The structure belongs to space group P4/mmm (No. 123); the cell edges are 5.0388, 5.0388 and 5.6120 Å and the angles 90.00°, 90.00° and 90.00°. The asymmetric unit holds Y at (0.0000, 0.0000, 0.0000), As at (0.5000, 0.5000, 0.0000), Pb at (0.0000, 0.0000, 0.5000) and W at (0.0000, 0.5000, 0.5000).

An optimized crystal structure of ZrAs2PbW, computed with PBE-GGA.

As for the crystal system: tetragonal.

The structure belongs to space group P4/mmm (No. 123); the cell edges are 5.1187, 5.1187 and 5.6307 Å and the angles 90.00°, 90.00° and 90.00°. The asymmetric unit holds Zr at (0.0000, 0.0000, 0.0000), As at (0.0000, 0.5000, 0.0000), Pb at (0.0000, 0.0000, 0.5000) and W at (0.5000, 0.5000, 0.5000).

An optimized crystal structure of Y2As2Pb, computed with PBE-GGA.

As for the crystal system: tetragonal.

The structure belongs to space group I4/mmm (No. 139); the cell edges are 5.5384, 5.5384 and 8.7553 Å and the angles 90.00°, 90.00° and 90.00°. The asymmetric unit holds Y at (0.0000, 0.5000, 0.2500), As at (0.0000, 0.0000, 0.1526) and Pb at (0.0000, 0.0000, 0.5000).

An optimized crystal structure of Y2AsPb2, computed with PBE-GGA.

As for the crystal system: tetragonal.

The structure belongs to space group P4/mbm (No. 127); the cell edges are 7.9492, 7.9492 and 4.4350 Å and the angles 90.00°, 90.00° and 90.00°. The asymmetric unit holds Y at (0.1704, 0.3296, 0.0000), As at (0.0000, 0.0000, 0.5000) and Pb at (0.1376, 0.6376, 0.5000).

An optimized crystal structure of YAs2Pb2, computed with PBE-GGA.

As for the crystal system: tetragonal.

The structure belongs to space group I4/mmm (No. 139); the cell edges are 3.7593, 3.7593 and 19.3441 Å and the angles 90.00°, 90.00° and 90.00°. The asymmetric unit holds Y at (0.0000, 0.0000, 0.0000), As at (0.0000, 0.5000, 0.2500) and Pb at (0.0000, 0.0000, 0.3913).

An optimized crystal structure of YAs2Pb2, computed with PBE-GGA.

As for the crystal system: tetragonal.

The structure belongs to space group P4/mbm (No. 127); the cell edges are 7.5137, 7.5137 and 4.6689 Å and the angles 90.00°, 90.00° and 90.00°. The asymmetric unit holds Y at (0.0000, 0.0000, 0.0000), As at (0.1304, 0.3696, 0.0000) and Pb at (0.1825, 0.6825, 0.5000).

An optimized crystal structure of Y2AsPb2, computed with PBE-GGA.

As for the crystal system: tetragonal.

The structure belongs to space group I4/mmm (No. 139); the cell edges are 4.1508, 4.1508 and 16.6698 Å and the angles 90.00°, 90.00° and 90.00°. The asymmetric unit holds Y at (0.0000, 0.0000, 0.0960), As at (0.0000, 0.0000, 0.5000) and Pb at (0.0000, 0.5000, 0.2500).

An optimized crystal structure of Y2AsPb2, computed with PBE-GGA.

As for the crystal system: tetragonal.

The structure belongs to space group P4/mbm (No. 127); the cell edges are 7.6044, 7.6044 and 4.9178 Å and the angles 90.00°, 90.00° and 90.00°. The asymmetric unit holds Y at (0.1685, 0.3315, 0.0000), As at (0.0000, 0.0000, 0.0000) and Pb at (0.1469, 0.6469, 0.5000).

An optimized crystal structure of YAs4Pb, computed with PBE-GGA.

As for the crystal system: cubic.

The structure belongs to space group F-43m (No. 216); the cell edges are 8.1349, 8.1349 and 8.1349 Å and the angles 90.00°, 90.00° and 90.00°. The asymmetric unit holds Y at (0.0000, 0.0000, 0.0000), As at (0.1257, 0.1257, 0.6257) and Pb at (0.2500, 0.2500, 0.2500).

An optimized crystal structure of YAsPb4, computed with PBE-GGA.

As for the crystal system: cubic.

The structure belongs to space group F-43m (No. 216); the cell edges are 8.9769, 8.9769 and 8.9769 Å and the angles 90.00°, 90.00° and 90.00°. The asymmetric unit holds Y at (0.0000, 0.0000, 0.0000), As at (0.2500, 0.2500, 0.7500) and Pb at (0.1251, 0.1251, 0.3749).

An optimized crystal structure of YAs2Pb2, computed with PBE-GGA.

As for the crystal system: tetragonal.

The structure belongs to space group I4/mmm (No. 139); the cell edges are 4.2763, 4.2763 and 15.1390 Å and the angles 90.00°, 90.00° and 90.00°. The asymmetric unit holds Y at (0.0000, 0.0000, 0.0000), As at (0.0000, 0.0000, 0.4172) and Pb at (0.0000, 0.5000, 0.2500).

These records have energy of formation from the pure elements values of 946.4; 852.8; 677.0; 869.8; 830.9; 914.7; 924.2; 1056.8; 586.7; 2217.3; 1346.2; -736.7; -350.9; 51.7; -346.5; -349.7; -626.7; -96.2; 151.0; -224.3 meV per atom, in the order they appear.